1.
# CuAg2Br

An optimized crystal structure of CuAg2Br (PBE, Alexandria via LeMat-Bulk).

Formation energy from raw total energies ... 0.149 eV per atom

a b c (Å): 3.9775 3.9775 18.5654
angles (deg): 90.00 90.00 120.00
Space group R-3m (No. 166, hexagonal axes)
Unique sites:
Cu 0.0000 0.0000 0.0000 x3
Ag 0.0000 0.0000 0.2700 x6
Br 0.0000 0.0000 0.5000 x3

---

2.
# Ba7Na3Ir

An optimized crystal structure of Ba7Na3Ir (PBE, Alexandria via LeMat-Bulk).

ΔH_f (0 K) ... -1.8 kJ/mol of atoms

a b c (Å): 10.2272 10.2272 20.1840
angles (deg): 90.00 90.00 120.00
Space group R3m (No. 160, hexagonal axes)
Unique sites:
Ba 0.0000 0.0000 0.0000 x3
Ba 0.0523 0.5262 0.0377 x9
Ba 0.1949 0.3898 0.8576 x9
Na 0.1100 0.5550 0.2402 x9
Ir 0.0000 0.0000 0.2827 x3

---

3.
# NdTaGa

An optimized crystal structure of NdTaGa (PBE, Alexandria via LeMat-Bulk).

ΔH_f (0 K) ... -26.2 kJ/mol of atoms

a b c (Å): 4.076 4.076 8.495
angles (deg): 90.00 90.00 90.00
Space group P4/nmm (No. 129, origin choice 2)
Unique sites:
Nd 0.250 0.250 0.161 x2
Ta 0.250 0.750 0.500 x2
Ga 0.250 0.250 0.729 x2

---

4.
# Li5MnAuN2

An optimized crystal structure of Li5MnAuN2 (PBE, Alexandria via LeMat-Bulk).

Formation energy from raw total energies ... -0.341 eV per atom

a b c (Å): 4.057 4.057 7.760
angles (deg): 90.00 90.00 90.00
Space group P4/mmm (No. 123)
Unique sites:
Li 0.000 0.000 0.000 x1
Li 0.000 0.500 0.248 x4
Mn 0.000 0.000 0.500 x1
Au 0.500 0.500 0.000 x1
N 0.000 0.000 0.266 x2

---

| no. | calculated volume (Å³/cell) | density of states at the Fermi level (states/eV per cell) |
| --- | --- | --- |
| 1 | 254 | 1.51 |
| 2 | 1828 | 31.08 |
| 3 | 141 | 4.61 |
| 4 | 128 | 3.51 |